1.
Material: NbBOs
Method: DFT, PBE-GGA
State: relaxed

ρ   10.00 g/cm3
VASP energy   -8.321 eV/atom

a = 5.8014 Å, b = 5.8014 Å, c = 5.8014 Å
α = 90.00°, β = 90.00°, γ = 90.00°
Positions (direct):
Nb (0.0000, 0.0000, 0.0000)
Nb (0.0000, 0.5000, 0.5000)
Nb (0.5000, 0.0000, 0.5000)
Nb (0.5000, 0.5000, 0.0000)
B (0.2500, 0.2500, 0.7500)
B (0.2500, 0.7500, 0.2500)
B (0.7500, 0.2500, 0.2500)
B (0.7500, 0.7500, 0.7500)
Os (0.2500, 0.2500, 0.2500)
Os (0.2500, 0.7500, 0.7500)
Os (0.7500, 0.2500, 0.7500)
Os (0.7500, 0.7500, 0.2500)



2.
Material: Nb2B2Os
Method: DFT, PBE-GGA
State: relaxed

ρ   10.91 g/cm3
VASP energy   -9.542 eV/atom

a = 5.9280 Å, b = 5.9280 Å, c = 6.8883 Å
α = 90.00°, β = 90.00°, γ = 90.00°
Positions (direct):
Nb (0.1642, 0.3136, 0.0000)
Nb (0.1864, 0.3358, 0.5000)
Nb (0.3136, 0.8358, 0.0000)
Nb (0.3358, 0.8136, 0.5000)
Nb (0.6642, 0.1864, 0.5000)
Nb (0.6864, 0.1642, 0.0000)
Nb (0.8136, 0.6642, 0.5000)
Nb (0.8358, 0.6864, 0.0000)
B (0.1138, 0.6138, 0.2500)
B (0.1138, 0.6138, 0.7500)
B (0.3862, 0.1138, 0.2500)
B (0.3862, 0.1138, 0.7500)
B (0.6138, 0.8862, 0.2500)
B (0.6138, 0.8862, 0.7500)
B (0.8862, 0.3862, 0.2500)
B (0.8862, 0.3862, 0.7500)
Os (0.0000, 0.0000, 0.2798)
Os (0.0000, 0.0000, 0.7202)
Os (0.5000, 0.5000, 0.2202)
Os (0.5000, 0.5000, 0.7798)



3.
Material: NbB4Os
Method: DFT, PBE-GGA
State: relaxed

ρ   9.94 g/cm3
VASP energy   -8.069 eV/atom

a = 3.0693 Å, b = 3.0693 Å, c = 6.6831 Å
α = 90.00°, β = 90.00°, γ = 120.00°
Positions (direct):
Nb (0.0000, 0.0000, 0.0000)
B (0.3333, 0.6667, 0.2536)
B (0.3333, 0.6667, 0.7464)
B (0.6667, 0.3333, 0.2536)
B (0.6667, 0.3333, 0.7464)
Os (0.0000, 0.0000, 0.5000)



4.
Material: Nb2BOs
Method: DFT, PBE-GGA
State: relaxed

ρ   11.10 g/cm3
VASP energy   -9.067 eV/atom

a = 6.1410 Å, b = 6.1410 Å, c = 6.1410 Å
α = 90.00°, β = 90.00°, γ = 90.00°
Positions (direct):
Nb (0.0000, 0.0000, 0.0000)
Nb (0.0000, 0.5000, 0.5000)
Nb (0.2500, 0.2500, 0.2500)
Nb (0.2500, 0.7500, 0.7500)
Nb (0.5000, 0.0000, 0.5000)
Nb (0.5000, 0.5000, 0.0000)
Nb (0.7500, 0.2500, 0.7500)
Nb (0.7500, 0.7500, 0.2500)
B (0.0000, 0.0000, 0.5000)
B (0.0000, 0.5000, 0.0000)
B (0.5000, 0.0000, 0.0000)
B (0.5000, 0.5000, 0.5000)
Os (0.2500, 0.2500, 0.7500)
Os (0.2500, 0.7500, 0.2500)
Os (0.7500, 0.2500, 0.2500)
Os (0.7500, 0.7500, 0.7500)



| no. | magnetization (μB/f.u.) |
| --- | --- |
| 1 | 0.002 |
| 2 | 0.000 |
| 3 | 0.543 |
| 4 | 0.008 |